# 1
A relaxed structure of ScOsBr2, computed with PBE.

Cell lengths 8.897, 8.897, 8.897 Å; angles 150.62, 150.62, 42.03 degrees
Element x y z (fractional)
Sc 0.000 0.000 0.000
Sc 0.750 0.250 0.500
Os 0.250 0.750 0.500
Os 0.500 0.500 0.000
Br 0.141 0.625 0.016
Br 0.375 0.391 0.516
Br 0.609 0.125 0.984
Br 0.875 0.859 0.484

Values from the calculation:
Symmetry = I-42d (122)
Electronic total energy = -0.3689 Ry per atom
Energy relative to the elements, uncorrected = 0.21 eV per atom

***

# 2
A relaxed structure of ScOs3Br, computed with PBE.

Cell lengths 4.566, 4.566, 4.566 Å; angles 90.00, 90.00, 90.00 degrees
Element x y z (fractional)
Sc 0.000 0.000 0.000
Os 0.000 0.500 0.500
Os 0.500 0.000 0.500
Os 0.500 0.500 0.000
Br 0.500 0.500 0.500

Values from the calculation:
Symmetry = Pm-3m (221)
Electronic total energy = -0.4848 Ry per atom
Energy relative to the elements, uncorrected = 1.74 eV per atom

***

# 3
A relaxed structure of ScOsBr2, computed with PBE.

Cell lengths 4.900, 4.900, 4.900 Å; angles 60.00, 60.00, 60.00 degrees
Element x y z (fractional)
Sc 0.000 0.000 0.000
Os 0.250 0.250 0.250
Br 0.500 0.500 0.500
Br 0.750 0.750 0.750

Values from the calculation:
Symmetry = F-43m (216)
Electronic total energy = -0.3384 Ry per atom
Energy relative to the elements, uncorrected = 0.62 eV per atom

***

# 4
A relaxed structure of Sc3OsBr, computed with PBE.

Cell lengths 5.108, 5.108, 5.108 Å; angles 90.00, 90.00, 90.00 degrees
Element x y z (fractional)
Sc 0.000 0.000 0.500
Sc 0.000 0.500 0.000
Sc 0.500 0.000 0.000
Os 0.000 0.000 0.000
Br 0.500 0.500 0.500

Values from the calculation:
Symmetry = Pm-3m (221)
Electronic total energy = -0.4778 Ry per atom
Energy relative to the elements, uncorrected = -0.12 eV per atom